(1)
# YPuTcNi, optimized geometry, DFT PBE
# symmetry: F-43m, No. 216
# formation energy: -19 meV per atom
data_YPuTcNi
_symmetry_space_group_name_H-M 'P 1'
_symmetry_Int_Tables_number 1
_cell_length_a 4.785
_cell_length_b 4.785
_cell_length_c 4.785
_cell_angle_alpha 60.00
_cell_angle_beta 60.00
_cell_angle_gamma 60.00
loop_
_symmetry_equiv_pos_as_xyz
'x,y,z'
loop_
_atom_site_label
_atom_site_type_symbol
_atom_site_fract_x
_atom_site_fract_y
_atom_site_fract_z
Ni1 Ni 0.500 0.500 0.500
Tc1 Tc 0.000 0.000 0.000
Y1 Y 0.750 0.750 0.750
Pu1 Pu 0.250 0.250 0.250

---

(2)
# PuZrTcNi, optimized geometry, DFT PBE
# symmetry: F-43m, No. 216
# formation energy: -134 meV per atom
data_PuZrTcNi
_symmetry_space_group_name_H-M 'P 1'
_symmetry_Int_Tables_number 1
_cell_length_a 4.678
_cell_length_b 4.678
_cell_length_c 4.678
_cell_angle_alpha 60.00
_cell_angle_beta 60.00
_cell_angle_gamma 60.00
loop_
_symmetry_equiv_pos_as_xyz
'x,y,z'
loop_
_atom_site_label
_atom_site_type_symbol
_atom_site_fract_x
_atom_site_fract_y
_atom_site_fract_z
Pu1 Pu 0.750 0.750 0.750
Tc1 Tc 0.000 0.000 0.000
Zr1 Zr 0.250 0.250 0.250
Ni1 Ni 0.500 0.500 0.500

---

(3)
# PuNiTe, optimized geometry, DFT PBE
# symmetry: P3m1, No. 156
# raw formation energy: -1.71 eV per formula unit
data_PuNiTe
_symmetry_space_group_name_H-M 'P 1'
_symmetry_Int_Tables_number 1
_cell_length_a 4.133
_cell_length_b 4.293
_cell_length_c 4.293
_cell_angle_alpha 120.00
_cell_angle_beta 90.00
_cell_angle_gamma 90.00
loop_
_symmetry_equiv_pos_as_xyz
'x,y,z'
loop_
_atom_site_label
_atom_site_type_symbol
_atom_site_fract_x
_atom_site_fract_y
_atom_site_fract_z
Te1 Te 0.189 0.333 0.667
Pu1 Pu 0.682 0.667 0.333
Ni1 Ni 0.129 0.000 0.000

---

(4)
# Pu2NiTe, optimized geometry, DFT PBE
# symmetry: R-3m, No. 166
# raw formation energy: -1.56 eV per formula unit
data_Pu2NiTe
_symmetry_space_group_name_H-M 'P 1'
_symmetry_Int_Tables_number 1
_cell_length_a 4.112
_cell_length_b 4.112
_cell_length_c 7.524
_cell_angle_alpha 74.14
_cell_angle_beta 74.14
_cell_angle_gamma 60.00
loop_
_symmetry_equiv_pos_as_xyz
'x,y,z'
loop_
_atom_site_label
_atom_site_type_symbol
_atom_site_fract_x
_atom_site_fract_y
_atom_site_fract_z
Pu1 Pu 0.736 0.736 0.792
Te1 Te 0.500 0.500 0.500
Pu2 Pu 0.264 0.264 0.208
Ni1 Ni 0.000 0.000 0.000

---

(5)
# PuNi4Te, optimized geometry, DFT PBE
# symmetry: F-43m, No. 216
# raw formation energy: -0.97 eV per formula unit
data_PuNi4Te
_symmetry_space_group_name_H-M 'P 1'
_symmetry_Int_Tables_number 1
_cell_length_a 5.032
_cell_length_b 5.032
_cell_length_c 5.032
_cell_angle_alpha 60.00
_cell_angle_beta 60.00
_cell_angle_gamma 60.00
loop_
_symmetry_equiv_pos_as_xyz
'x,y,z'
loop_
_atom_site_label
_atom_site_type_symbol
_atom_site_fract_x
_atom_site_fract_y
_atom_site_fract_z
Te1 Te 0.000 0.000 0.000
Pu1 Pu 0.250 0.250 0.250
Ni1 Ni 0.624 0.624 0.129
Ni2 Ni 0.624 0.129 0.624
Ni3 Ni 0.129 0.624 0.624
Ni4 Ni 0.624 0.624 0.624

---

(6)
# PuNiTe, optimized geometry, DFT PBE
# symmetry: P6_3/mmc, No. 194
# raw formation energy: -1.73 eV per formula unit
data_PuNiTe
_symmetry_space_group_name_H-M 'P 1'
_symmetry_Int_Tables_number 1
_cell_length_a 4.298
_cell_length_b 7.443
_cell_length_c 8.203
_cell_angle_alpha 90.00
_cell_angle_beta 90.00
_cell_angle_gamma 90.00
loop_
_symmetry_equiv_pos_as_xyz
'x,y,z'
loop_
_atom_site_label
_atom_site_type_symbol
_atom_site_fract_x
_atom_site_fract_y
_atom_site_fract_z
Ni1 Ni 0.750 0.449 0.000
Ni2 Ni 0.250 0.282 0.500
Pu1 Pu 0.750 0.115 0.750
Te1 Te 0.750 0.449 0.500
Te2 Te 0.250 0.949 0.500
Pu2 Pu 0.250 0.615 0.250
Pu3 Pu 0.250 0.615 0.750
Te3 Te 0.750 0.782 0.000
Pu4 Pu 0.750 0.115 0.250
Ni3 Ni 0.250 0.949 0.000
Ni4 Ni 0.750 0.782 0.500
Te4 Te 0.250 0.282 0.000

---

(7)
# Pu2ThNi, optimized geometry, DFT PBE
# symmetry: P4/mmm, No. 123
# formation energy: 54 meV per atom
# polymorph energy (0 for the lowest one): 0 meV per atom
data_Pu2ThNi
_symmetry_space_group_name_H-M 'P 1'
_symmetry_Int_Tables_number 1
_cell_length_a 3.526
_cell_length_b 3.526
_cell_length_c 7.433
_cell_angle_alpha 90.00
_cell_angle_beta 90.00
_cell_angle_gamma 90.00
loop_
_symmetry_equiv_pos_as_xyz
'x,y,z'
loop_
_atom_site_label
_atom_site_type_symbol
_atom_site_fract_x
_atom_site_fract_y
_atom_site_fract_z
Ni1 Ni 0.500 0.500 0.000
Th1 Th 0.500 0.500 0.500
Pu1 Pu 0.000 0.000 0.799
Pu2 Pu 0.000 0.000 0.201

---

(8)
# PuTh2Ni, optimized geometry, DFT PBE
# symmetry: R-3m, No. 166
# formation energy: 231 meV per atom
# polymorph energy (0 for the lowest one): 284 meV per atom
data_PuTh2Ni
_symmetry_space_group_name_H-M 'P 1'
_symmetry_Int_Tables_number 1
_cell_length_a 3.590
_cell_length_b 3.590
_cell_length_c 10.280
_cell_angle_alpha 79.94
_cell_angle_beta 79.94
_cell_angle_gamma 60.00
loop_
_symmetry_equiv_pos_as_xyz
'x,y,z'
loop_
_atom_site_label
_atom_site_type_symbol
_atom_site_fract_x
_atom_site_fract_y
_atom_site_fract_z
Th1 Th 0.105 0.105 0.685
Pu1 Pu 0.000 0.000 0.000
Th2 Th 0.895 0.895 0.315
Ni1 Ni 0.500 0.500 0.500

---

(9)
# Pu3ThNi8, optimized geometry, DFT PBE
# symmetry: R3m, No. 160
# formation energy: -315 meV per atom
data_Pu3ThNi8
_symmetry_space_group_name_H-M 'P 1'
_symmetry_Int_Tables_number 1
_cell_length_a 5.068
_cell_length_b 5.068
_cell_length_c 8.811
_cell_angle_alpha 73.28
_cell_angle_beta 73.28
_cell_angle_gamma 60.00
loop_
_symmetry_equiv_pos_as_xyz
'x,y,z'
loop_
_atom_site_label
_atom_site_type_symbol
_atom_site_fract_x
_atom_site_fract_y
_atom_site_fract_z
Ni1 Ni 0.937 0.438 0.687
Pu1 Pu 0.495 0.495 0.516
Pu2 Pu 0.373 0.373 0.882
Ni2 Ni 0.937 0.438 0.187
Ni3 Ni 0.688 0.688 0.937
Ni4 Ni 0.438 0.937 0.187
Ni5 Ni 0.438 0.937 0.687
Ni6 Ni 0.937 0.937 0.687
Ni7 Ni 0.438 0.438 0.187
Pu3 Pu 0.005 0.005 0.986
Ni8 Ni 0.187 0.187 0.439
Th1 Th 0.877 0.877 0.368

---

(10)
# PuThNi2, optimized geometry, DFT PBE
# symmetry: Pm, No. 6
# formation energy: -256 meV per atom
data_PuThNi2
_symmetry_space_group_name_H-M 'P 1'
_symmetry_Int_Tables_number 1
_cell_length_a 3.744
_cell_length_b 4.116
_cell_length_c 5.655
_cell_angle_alpha 90.00
_cell_angle_beta 109.24
_cell_angle_gamma 90.00
loop_
_symmetry_equiv_pos_as_xyz
'x,y,z'
loop_
_atom_site_label
_atom_site_type_symbol
_atom_site_fract_x
_atom_site_fract_y
_atom_site_fract_z
Ni1 Ni 0.009 0.000 0.556
Ni2 Ni 0.159 0.500 0.857
Pu1 Pu 0.721 0.000 0.983
Th1 Th 0.442 0.500 0.423

---

(11)
# PuTh2Ni, optimized geometry, DFT PBE
# symmetry: P4/mmm, No. 123
# formation energy: -53 meV per atom
# polymorph energy (0 for the lowest one): 0 meV per atom
data_PuTh2Ni
_symmetry_space_group_name_H-M 'P 1'
_symmetry_Int_Tables_number 1
_cell_length_a 3.550
_cell_length_b 3.550
_cell_length_c 7.941
_cell_angle_alpha 90.00
_cell_angle_beta 90.00
_cell_angle_gamma 90.00
loop_
_symmetry_equiv_pos_as_xyz
'x,y,z'
loop_
_atom_site_label
_atom_site_type_symbol
_atom_site_fract_x
_atom_site_fract_y
_atom_site_fract_z
Th1 Th 0.000 0.000 0.785
Th2 Th 0.000 0.000 0.215
Pu1 Pu 0.500 0.500 0.500
Ni1 Ni 0.500 0.500 0.000

---

(12)
# Pu2ThNi9, optimized geometry, DFT PBE
# symmetry: R-3m, No. 166
# formation energy: -338 meV per atom
data_Pu2ThNi9
_symmetry_space_group_name_H-M 'P 1'
_symmetry_Int_Tables_number 1
_cell_length_a 4.960
_cell_length_b 4.960
_cell_length_c 8.668
_cell_angle_alpha 73.38
_cell_angle_beta 73.38
_cell_angle_gamma 60.00
loop_
_symmetry_equiv_pos_as_xyz
'x,y,z'
loop_
_atom_site_label
_atom_site_type_symbol
_atom_site_fract_x
_atom_site_fract_y
_atom_site_fract_z
Ni1 Ni 0.082 0.583 0.752
Ni2 Ni 0.583 0.583 0.752
Ni3 Ni 0.667 0.667 0.999
Ni4 Ni 0.500 0.500 0.500
Th1 Th 0.000 0.000 0.000
Ni5 Ni 0.417 0.417 0.248
Pu1 Pu 0.144 0.144 0.569
Ni6 Ni 0.918 0.417 0.248
Ni7 Ni 0.417 0.918 0.248
Ni8 Ni 0.333 0.333 0.001
Pu2 Pu 0.856 0.856 0.431
Ni9 Ni 0.583 0.082 0.752